Crystalline Nd4Pt2O at its relaxed geometry, computed with PBE.

Summary:
**Relative energy among the computed polymorphs**: 0.000 eV/atom

```
data_Nd4Pt2O
_chemical_formula_sum 'Nd8 Pt4 O2'
_symmetry_space_group_name_H-M 'P 1 21/m 1'
_symmetry_Int_Tables_number 11
_symmetry_space_group_name_Hall '-P 2yb'
_cell_length_a 6.8715
_cell_length_b 7.1075
_cell_length_c 7.8747
_cell_angle_alpha 90.00
_cell_angle_beta 106.52
_cell_angle_gamma 90.00
loop_
_atom_site_label
_atom_site_fract_x
_atom_site_fract_y
_atom_site_fract_z
Nd1 0.0066 0.0070 0.2514
Nd2 0.4357 0.2500 0.6007
Nd3 0.4491 0.2500 0.1224
Pt1 0.2226 0.7500 0.5494
Pt2 0.2302 0.7500 0.0630
O1 0.2391 0.2500 0.3062
```